1.
A geometry-optimized Cs2DyCdI6 structure, computed with GGA-PBE.

Lattice parameters (Å, degrees): 8.8411 12.4818 8.8283 90.00 90.00 90.00
Last column: nearest neighbours and their distance in Å.
Space group Pmmn (No. 59, origin choice 2)
Asymmetric unit:
Cs 0.2500 0.0010 0.2500  12 I 4.40-4.44
Dy 0.2500 0.2500 0.7491  6 I 3.03-3.04
Cd 0.2500 0.7500 0.7507  6 I 3.20-3.21
I 0.0070 0.2500 0.9918  1 Dy 3.03, 1 Cd 3.21
I 0.0079 0.2500 0.5054  1 Dy 3.03, 1 Cd 3.21
I 0.2500 0.0068 0.7496  1 Dy 3.04, 1 Cd 3.20

The formation energy from raw total energies comes out at -1.197 eV per atom. As for the density of states at the Fermi level: 4.22 states/eV/f.u. For the total energy, the calculation gives -57.00 eV/cell. Its crystal system is orthorhombic.

2.
A geometry-optimized SiSb2Ru structure, computed with GGA-PBE.

Lattice parameters (Å, degrees): 3.1059 3.3591 7.9264 90.00 90.00 90.00
Last column: nearest neighbours and their distance in Å.
Space group Pmm2 (No. 25)
Asymmetric unit:
Si 0.0000 0.0000 0.0000  4 Ru 2.50
Sb 0.0000 0.0000 0.3675  1 Si 2.91, 4 Ru 2.97, 2 Sb 3.11
Sb 0.5000 0.5000 0.7680  1 Ru 2.85, 4 Si 2.94, 2 Sb 3.11
Ru 0.5000 0.5000 0.1280  4 Si 2.50

The formation energy from raw total energies comes out at -0.019 eV per atom. As for the density of states at the Fermi level: 2.80 states/eV/f.u. For the total energy, the calculation gives -23.02 eV/cell. Its crystal system is orthorhombic.

3.
A geometry-optimized ZnSi2Ag structure, computed with GGA-PBE.

Lattice parameters (Å, degrees): 2.7148 5.0338 9.5820 90.00 90.00 90.00
Last column: nearest neighbours and their distance in Å.
Space group Cmmm (No. 65)
Asymmetric unit:
Zn 0.0000 0.0000 0.0000  6 Zn 2.71-2.86, 4 Si 2.73
Si 0.0000 0.5000 0.2466  6 Si 2.71-2.86, 2 Zn 2.73, 2 Ag 2.78
Ag 0.0000 0.0000 0.5000  6 Ag 2.71-2.86, 4 Si 2.78

The formation energy from raw total energies comes out at 0.382 eV per atom. As for the density of states at the Fermi level: 1.44 states/eV/f.u. For the total energy, the calculation gives -26.89 eV/cell. Its crystal system is orthorhombic.

Among the records above, which one has the lowest formation energy from raw total energies? Cs2DyCdI6

Look up the formation energy from raw total energies of the second one. -0.019 eV per atom